A relaxed structure of LaPmTePb, computed with PBE-GGA.

Computed properties:
formation energy from raw total energies = -1.06 eV/atom
relative energy among the computed polymorphs = 0.000 eV per atom
M_tot = 0.0 Bohr magnetons per cell

a b c (Å): 4.590 4.590 22.431
angles (deg): 90.00 90.00 120.00
Sites, in units of the cell vectors:
La: 0.000 0.000 0.000
La: 0.333 0.667 0.667
La: 0.667 0.333 0.333
Pm: 0.000 0.000 0.496
Pm: 0.333 0.667 0.163
Pm: 0.667 0.333 0.829
Te: 0.000 0.000 0.246
Te: 0.333 0.667 0.913
Te: 0.667 0.333 0.579
Pb: 0.000 0.000 0.750
Pb: 0.333 0.667 0.417
Pb: 0.667 0.333 0.083



A relaxed structure of CuBOs, computed with PBE-GGA.

Computed properties:
energy of formation = 270 meV per atom
M_tot = 0.0 Bohr magnetons per cell

a b c (Å): 2.698 12.611 3.827
angles (deg): 90.00 90.00 90.00
Sites, in units of the cell vectors:
Cu: 0.000 0.219 0.250
Cu: 0.000 0.781 0.750
Cu: 0.500 0.281 0.750
Cu: 0.500 0.719 0.250
B: 0.000 0.432 0.750
B: 0.000 0.568 0.250
B: 0.500 0.068 0.250
B: 0.500 0.932 0.750
Os: 0.000 0.076 0.750
Os: 0.000 0.924 0.250
Os: 0.500 0.424 0.250
Os: 0.500 0.576 0.750



A relaxed structure of NaGa2I3, computed with PBE-GGA.

Computed properties:
formation energy from raw total energies = -0.65 eV/atom
relative energy among the computed polymorphs = 0.000 eV per atom
M_tot = 0.0 Bohr magnetons per cell

a b c (Å): 4.761 19.570 4.760
angles (deg): 90.00 90.00 90.00
Sites, in units of the cell vectors:
Na: 0.000 0.000 0.000
Na: 0.500 0.500 0.500
Ga: 0.000 0.334 0.001
Ga: 0.000 0.666 0.001
Ga: 0.500 0.166 0.501
Ga: 0.500 0.834 0.501
I: 0.000 0.163 0.001
I: 0.000 0.500 0.000
I: 0.000 0.837 0.001
I: 0.500 0.000 0.500
I: 0.500 0.337 0.501
I: 0.500 0.663 0.501